# YRuNO2

An optimized crystal structure of YRuNO2 (GGA-PBEsol, the Alexandria database).

a = 3.935 Å, b = 3.935 Å, c = 3.719 Å
α = 90.00°, β = 90.00°, γ = 90.00°
Space group P4/mmm (No. 123)
Asymmetric unit:
Y 0.000 0.000 0.000 (multiplicity 1)
Ru 0.500 0.500 0.500 (multiplicity 1)
N 0.500 0.500 0.000 (multiplicity 1)
O 0.000 0.500 0.500 (multiplicity 2)

- ΔE_f (raw) (kcal/mol of atoms) = -31.08
- N(E_F) (states/eV/cell) = 2.56